1.
HfNiHOs2 (PBE, optimized geometry); space group = P4/mmm, No. 123; total moment = 0.00 μB per formula unit; raw total energy = -42.44 eV/cell; Fermi-level density of states = 4.0 states/eV per cell
1.0
-3.403 -0.398 2.027
-1.174 -2.840 -2.530
1.657 -2.692 2.253
Hf Os H Ni
1 2 1 1
Direct
0.500 0.500 0.500
0.500 0.000 0.000
0.000 0.500 0.000
0.000 0.000 0.000
0.000 0.000 0.500

***

2.
CoHgAs2 (PBE, optimized geometry); calculated formation energy = 147 meV/atom; space group = Pmm2, No. 25; total moment = 0.21 μB per formula unit; raw total energy = -16.12 eV/cell; Fermi-level density of states = 2.2 states/eV per cell
1.0
-0.487 -0.823 2.658
3.523 -0.546 0.476
0.818 7.412 2.445
Hg Co As
1 1 2
Direct
0.500 0.500 0.759
0.000 0.000 0.312
0.000 0.000 0.025
0.500 0.500 0.403

***

3.
LiYMgSe3 (PBE, optimized geometry); uncorrected formation energy = -33.68 kcal/mol of atoms; space group = P2_1/m, No. 11; total moment = 0.00 μB per formula unit; raw total energy = -58.38 eV/cell
1.0
-0.508 3.354 -1.979
-6.065 1.934 4.835
7.002 3.377 3.924
Se Li Mg Y
6 2 2 2
Direct
0.750 0.425 0.156
0.750 0.907 0.127
0.250 0.764 0.499
0.250 0.575 0.844
0.750 0.236 0.501
0.250 0.093 0.873
0.750 0.906 0.408
0.250 0.094 0.592
0.250 0.665 0.162
0.750 0.335 0.838
0.750 0.808 0.765
0.250 0.192 0.235

***

4.
YScRe2 (PBE, optimized geometry); calculated formation energy = 453 meV/atom; space group = I4/mmm, No. 139; total moment = 0.00 μB per formula unit; raw total energy = -35.88 eV/cell; Fermi-level density of states = 4.8 states/eV per cell
1.0
-5.037 1.723 1.305
-3.569 0.829 -4.077
3.440 -3.958 1.596
Y Re Sc
1 2 1
Direct
0.750 0.250 0.500
0.000 0.000 0.000
0.500 0.500 0.000
0.250 0.750 0.500